Record 1
! CePm2Nd3Te6 | Alexandria | PBE | relaxed; values from VASP
! uncorrected formation energy: -1.4118 eV/atom
! total magnetization: 0.105 μB per atom
! total energy: -5.46 eV/atom
&SYSTEM
  ibrav = 0, nat = 12, ntyp = 4
/
ATOMIC_SPECIES
Ce 140.12 Ce.upf
Pm 145.00 Pm.upf
Nd 144.24 Nd.upf
Te 127.60 Te.upf
ATOMIC_POSITIONS crystal
Ce 0.5000 0.0000 0.0000
Pm 0.8336 0.6682 0.6672
Pm 0.1664 0.3318 0.3328
Nd 0.5000 0.5000 0.0000
Nd 0.8325 0.1666 0.6650
Nd 0.1675 0.8334 0.3350
Te 0.3338 0.9159 0.6676
Te 0.6675 0.5812 0.3350
Te 0.6662 0.0841 0.3324
Te 0.0002 0.2499 0.0004
Te 0.9998 0.7501 0.9996
Te 0.3325 0.4188 0.6650
CELL_PARAMETERS angstrom
-1.1839 2.7042 -3.3493
3.4407 -5.8596 -5.9471
-8.6821 -4.2839 2.5856

---

Record 2
! Ac2CdHg5 | Alexandria | PBE | relaxed; values from VASP
! energy of formation from the pure elements: -0.33 eV per atom
! total magnetization: 0.000 μB per atom
! total energy: -1.66 eV/atom
&SYSTEM
  ibrav = 0, nat = 16, ntyp = 3
/
ATOMIC_SPECIES
Ac 227.00 Ac.upf
Cd 112.41 Cd.upf
Hg 200.59 Hg.upf
ATOMIC_POSITIONS crystal
Ac 0.7931 0.5862 0.7500
Ac 0.2069 0.4138 0.2500
Ac 0.0000 0.0000 0.0000
Ac 0.0000 0.0000 0.5000
Cd 0.4476 0.8953 0.7500
Cd 0.5524 0.1047 0.2500
Hg 0.1886 0.3773 0.8971
Hg 0.8114 0.6227 0.1029
Hg 0.1886 0.3773 0.6029
Hg 0.8114 0.6227 0.3971
Hg 0.3557 0.7113 0.9688
Hg 0.6443 0.2887 0.0312
Hg 0.3557 0.7113 0.5312
Hg 0.6443 0.2887 0.4688
Hg 0.5984 0.1969 0.7500
Hg 0.4016 0.8031 0.2500
CELL_PARAMETERS angstrom
4.9243 0.0000 0.0000
-2.4621 9.1769 0.0000
0.0000 0.0000 10.1911

---

Record 3
! ZnPBr2 | Alexandria | PBE | relaxed; values from VASP
! energy above the lowest structure with this stoichiometry: 22 meV per atom
! uncorrected formation energy: -0.2449 eV/atom
! total magnetization: 0.001 μB per atom
! total energy: -2.75 eV/atom
&SYSTEM
  ibrav = 0, nat = 4, ntyp = 3
/
ATOMIC_SPECIES
Zn 65.41 Zn.upf
P 30.97 P.upf
Br 79.90 Br.upf
ATOMIC_POSITIONS crystal
Zn 0.5000 0.3351 0.4475
P 0.0000 0.3970 0.2889
Br 0.0000 0.0209 0.1100
Br 0.5000 0.7471 0.6537
CELL_PARAMETERS angstrom
4.2321 0.0000 0.0000
0.0000 4.2735 -0.0838
0.0000 1.8450 6.7720

---

Record 4
! ZrCu3Rh | Alexandria | PBE | relaxed; values from VASP
! energy above the lowest structure with this stoichiometry: 993 meV per atom
! energy of formation from the pure elements: 0.78 eV per atom
! total magnetization: 0.001 μB per atom
! total energy: -4.86 eV/atom
&SYSTEM
  ibrav = 0, nat = 5, ntyp = 3
/
ATOMIC_SPECIES
Rh 102.91 Rh.upf
Cu 63.55 Cu.upf
Zr 91.22 Zr.upf
ATOMIC_POSITIONS crystal
Rh 0.0000 0.0000 0.0000
Cu 0.0000 0.5000 0.0000
Cu 0.0000 0.0000 0.5000
Cu 0.5000 0.0000 0.0000
Zr 0.5000 0.5000 0.5000
CELL_PARAMETERS angstrom
-2.5037 2.3001 -3.0115
-0.4963 -3.7774 -2.4724
-3.7567 -1.0339 2.3337

---

Record 5
! Ta2CuTe | Alexandria | PBE | relaxed; values from VASP
! uncorrected formation energy: 0.2949 eV/atom
! total magnetization: 0.000 μB per atom
! total energy: -7.44 eV/atom
&SYSTEM
  ibrav = 0, nat = 4, ntyp = 3
/
ATOMIC_SPECIES
Cu 63.55 Cu.upf
Ta 180.95 Ta.upf
Te 127.60 Te.upf
ATOMIC_POSITIONS crystal
Cu 0.7466 0.7466 0.7916
Ta 0.0062 0.0062 0.9692
Ta 0.2502 0.2502 0.2574
Te 0.4970 0.4970 0.4817
CELL_PARAMETERS angstrom
5.0809 -0.0108 0.0302
4.0330 3.0904 0.0302
1.3978 0.4723 4.5887

---

Record 6
! BaAc2LaIn4 | Alexandria | PBE | relaxed; values from VASP
! energy of formation from the pure elements: -0.41 eV per atom
! total magnetization: 0.000 μB per atom
! total energy: -3.66 eV/atom
&SYSTEM
  ibrav = 0, nat = 8, ntyp = 4
/
ATOMIC_SPECIES
Ba 137.33 Ba.upf
Ac 227.00 Ac.upf
La 138.91 La.upf
In 114.82 In.upf
ATOMIC_POSITIONS crystal
Ba 0.0000 0.0000 0.0000
Ac 0.7482 0.7482 0.7554
Ac 0.2518 0.2518 0.2446
La 0.5000 0.5000 0.5000
In 0.3801 0.3801 0.8598
In 0.8717 0.8717 0.3848
In 0.1283 0.1283 0.6152
In 0.6199 0.6199 0.1402
CELL_PARAMETERS angstrom
-2.1236 -3.3363 -4.2453
-1.0413 -5.6237 0.9757
-9.8967 -0.8706 1.6700

---

Record 7
! Tb2Zn2Cd3 | Alexandria | PBE | relaxed; values from VASP
! energy above the lowest structure with this stoichiometry: 0 meV per atom
! energy of formation from the pure elements: -0.29 eV per atom
! total magnetization: 0.000 μB per atom
! total energy: -2.37 eV/atom
&SYSTEM
  ibrav = 0, nat = 7, ntyp = 3
/
ATOMIC_SPECIES
Tb 158.93 Tb.upf
Zn 65.41 Zn.upf
Cd 112.41 Cd.upf
ATOMIC_POSITIONS crystal
Tb 0.8580 0.7160 0.2164
Tb 0.1420 0.2840 0.7836
Zn 0.8456 0.6913 0.8026
Zn 0.1544 0.3087 0.1974
Cd 0.5000 0.0000 0.0000
Cd 0.6208 0.2417 0.4380
Cd 0.3792 0.7583 0.5620
CELL_PARAMETERS angstrom
-3.6935 2.2931 -0.2305
2.9199 0.0780 -4.8976
-3.9524 -6.2850 0.8058

---

Record 8
! Tl2SiAu6 | Alexandria | PBE | relaxed; values from VASP
! uncorrected formation energy: 0.0158 eV/atom
! total magnetization: 0.000 μB per atom
! total energy: -3.30 eV/atom
&SYSTEM
  ibrav = 0, nat = 9, ntyp = 3
/
ATOMIC_SPECIES
Tl 204.38 Tl.upf
Si 28.09 Si.upf
Au 196.97 Au.upf
ATOMIC_POSITIONS crystal
Tl 0.2513 0.2513 0.2488
Tl 0.7487 0.7487 0.7512
Si 0.5000 0.5000 0.5000
Au 0.2282 0.2282 0.7714
Au 0.2281 0.7725 0.2290
Au 0.7719 0.2275 0.7710
Au 0.7725 0.2281 0.2290
Au 0.2275 0.7719 0.7710
Au 0.7718 0.7718 0.2286
CELL_PARAMETERS angstrom
-5.0113 -0.5440 4.0497
-3.7521 -5.2617 -0.2142
0.1978 -4.2981 4.8139